Below is crystalline CdIn2F4 at its relaxed geometry, with properties calculated at the PBE level.

a = 3.9391 Å, b = 3.9560 Å, c = 8.4693 Å
α = 103.52°, β = 103.45°, γ = 90.00°
Sites, in units of the cell vectors:
Cd 0.0000 0.0000 0.0000
F 0.4141 0.9143 0.8283
F 0.5859 0.0857 0.1717
F 0.0857 0.5855 0.1713
F 0.9143 0.4145 0.8287
In 0.6755 0.6760 0.3510
In 0.3245 0.3240 0.6490

D(E_F) in states/eV/atom: 0.000
Crystal system: orthorhombic
Total moment in μB per formula unit: 0.00
Excess energy over the best structure of this formula in the dataset in meV/atom: 0.0
Total energy in eV/cell: -27.41
Energy relative to the elements, uncorrected in eV/atom: -1.934
SG: Immm